Here is a relaxed TaCr2PtF crystal from Alexandria. Energies are from PBE with a Hubbard U.

Output
Spin magnetization in μB/cell: 7.1
Calculated volume in Å³/f.u.: 101
DFT total energy in eV/cell: -31.92

Unit cell a=5.0873 b=5.0873 c=3.8884 alpha=90.00 beta=90.00 gamma=90.00
Atoms (fractional coordinates):
1 Ta 0.0000 0.0000 0.0000
2 Cr 0.0000 0.5000 0.0000
3 Cr 0.5000 0.0000 0.0000
4 Pt 0.5000 0.5000 0.5000
5 F 0.0000 0.0000 0.5000